A plane-wave DFT calculation with GGA-PBE was carried out for a geometry-optimized EuGdGaRu structure.

Cell: 7.1052 7.1052 7.1052 Å, 90.00 90.00 90.00°
Space group F-43m (No. 216)
Symmetry-distinct sites (fractional):
Eu 0.0000 0.0000 0.0000
Gd 0.0000 0.0000 0.5000
Ga 0.2500 0.2500 0.7500
Ru 0.2500 0.2500 0.2500

## Properties
Energy   -9.378 eV/atom
Energy of formation from the pure elements   -4.92 kcal/mol of atoms
Spin magnetization   13.574 μB/f.u.


A plane-wave DFT calculation with GGA-PBE was carried out for a geometry-optimized LiBF3 structure.

Cell: 3.4713 14.8567 4.8078 Å, 90.00 90.00 90.00°
Space group Ama2 (No. 40)
Symmetry-distinct sites (fractional):
Li 0.2500 0.1326 0.0000
B 0.2500 0.3586 0.9840
F 0.2500 0.1158 0.3928
F 0.2500 0.2648 0.9814
F 0.2500 0.3871 0.2705

## Properties
Energy   -4.901 eV/atom
E above lowest polymorph   0.000 eV per atom
Energy relative to the elements, uncorrected   -994 kJ/mol of formula units
Spin magnetization   0.000 μB/f.u.


A plane-wave DFT calculation with GGA-PBE was carried out for a geometry-optimized TiNb2AuC structure.

Cell: 4.3134 4.3134 4.1916 Å, 90.00 90.00 90.00°
Space group P4/mmm (No. 123)
Symmetry-distinct sites (fractional):
Ti 0.0000 0.0000 0.0000
Nb 0.0000 0.5000 0.5000
Au 0.5000 0.5000 0.0000
C 0.0000 0.0000 0.5000

## Properties
Energy   -8.461 eV/atom
Energy of formation from the pure elements   -8.15 kcal/mol of atoms
Spin magnetization   0.003 μB/f.u.


A plane-wave DFT calculation with GGA-PBE was carried out for a geometry-optimized Er3TmBi3 structure.

Cell: 8.9829 8.9829 18.7580 Å, 90.00 90.00 120.00°
Space group R-3 (No. 148, hexagonal axes)
Symmetry-distinct sites (fractional):
Er 0.0006 0.7490 0.0808
Tm 0.0000 0.0000 0.3337
Bi 0.0017 0.6068 0.9145

## Properties
Energy   -4.859 eV/atom
E above lowest polymorph   0.062 eV per atom
Energy of formation from the pure elements   -13.86 kcal/mol of atoms
Spin magnetization   0.004 μB/f.u.